<P>
InTcW2 | Alexandria | meta-GGA SCAN | single point on PBEsol structure; Fermi-level density of states = 3.01 states/eV per cell; total magnetic moment = 0.00 μB per cell
1.0
3.2617 0.0000 0.0000
0.0000 4.3860 0.0000
0.0000 0.0000 4.4885
W In Tc
2 1 1
Direct
0.5000 0.5000 0.0000
0.0000 0.0000 0.0000
0.5000 0.0000 0.5000
0.0000 0.5000 0.5000



<Q>
InTcW2 | Alexandria | meta-GGA SCAN | single point on PBEsol structure; Fermi-level density of states = 2.13 states/eV per cell; total magnetic moment = 0.00 μB per cell
1.0
2.8661 0.0000 0.0000
1.4330 2.4821 0.0000
1.4330 0.8274 9.1995
In W Tc
1 2 1
Direct
0.5026 0.5026 0.4922
0.9961 0.9961 0.0117
0.7463 0.7463 0.7612
0.2550 0.2550 0.2350



Which of them is the most stable, and which is the least stable? <P> and <Q>, in that order.



<P>
IrPt2 | Alexandria | meta-GGA SCAN | single point on PBEsol structure; Fermi-level density of states = 4.23 states/eV per cell; total magnetic moment = 0.00 μB per cell
1.0
2.6487 0.0000 0.0000
0.0000 4.4304 0.0000
0.0000 -2.2152 3.8369
Pt Ir
2 1
Direct
0.5000 0.3333 0.6667
0.5000 0.6667 0.3333
0.0000 0.0000 0.0000



<Q>
IrPt2 | Alexandria | meta-GGA SCAN | single point on PBEsol structure; Fermi-level density of states = 4.05 states/eV per cell; total magnetic moment = 0.00 μB per cell
1.0
-1.5136 2.2740 -0.3893
0.7151 -1.5670 -2.1556
-5.5819 -3.5861 0.7551
Ir Pt
1 2
Direct
0.0000 0.0000 0.0000
0.3333 0.6667 0.6709
0.6667 0.3333 0.3291



Which of them is the most stable, and which is the least stable? <Q> and <P>, in that order.



<P>
Cd2HgPb | Alexandria | meta-GGA SCAN | single point on PBEsol structure; Fermi-level density of states = 1.71 states/eV per cell; total magnetic moment = 0.00 μB per cell
1.0
3.6535 0.0000 0.0000
0.0000 3.6535 0.0000
0.0000 0.0000 7.1714
Cd Pb Hg
2 1 1
Direct
0.5000 0.5000 0.2496
0.0000 0.0000 0.0268
0.5000 0.5000 0.7496
0.0000 0.0000 0.4741



<Q>
Cd2HgPb | Alexandria | meta-GGA SCAN | single point on PBEsol structure; Fermi-level density of states = 2.99 states/eV per cell; total magnetic moment = 0.00 μB per cell
1.0
4.3472 0.0000 0.0000
0.0000 4.3472 0.0000
-2.1736 -2.1736 10.6236
Pb Hg Cd
2 2 4
Direct
0.2500 0.7500 0.5000
0.0000 0.0000 0.0000
0.7500 0.2500 0.5000
0.5000 0.5000 0.0000
0.1250 0.1384 0.7500
0.3884 0.8750 0.2500
0.8616 0.3750 0.2500
0.6250 0.6116 0.7500



Which of them is the most stable, and which is the least stable? <P> and <Q>, in that order.



<P>
SrAg2Os | Alexandria | meta-GGA SCAN | single point on PBEsol structure; Fermi-level density of states = 2.98 states/eV per cell; total magnetic moment = 0.84 μB per cell
1.0
-1.6636 -1.1271 -2.7909
2.6245 -2.1042 -0.7146
-2.8949 -4.8638 3.6898
Sr Ag Os
1 2 1
Direct
0.5000 0.5000 0.5000
0.0000 0.0000 0.1957
0.0000 0.0000 0.8043
0.5000 0.5000 0.0000



<Q>
SrAg2Os | Alexandria | meta-GGA SCAN | single point on PBEsol structure; Fermi-level density of states = 2.52 states/eV per cell; total magnetic moment = 0.00 μB per cell
1.0
2.8370 0.0000 0.0000
0.0000 5.1975 0.0000
-1.4185 -2.5987 5.4006
Ag Os Sr
2 1 1
Direct
0.2170 0.2170 0.4339
0.7830 0.7830 0.5661
0.5000 0.0000 0.0000
0.0000 0.5000 0.0000



Which of them is the most stable, and which is the least stable? <Q> and <P>, in that order.